PBE HoAlPd, optimized geometry; D(E_F) = 5.9 states/eV per cell; uncorrected energy = -5.390 eV/atom
1.0
4.450 0.000 0.000
0.000 6.856 0.000
0.000 0.000 7.784
Ho Al Pd
4 4 4
Cartesian
1.112 0.222 5.302 Ho
1.112 3.650 6.374 Ho
3.337 6.633 2.482 Ho
3.337 3.206 1.410 Ho
1.112 1.001 0.484 Al
1.112 4.429 3.408 Al
3.337 5.855 7.300 Al
3.337 2.427 4.376 Al
1.112 1.856 2.980 Pd
1.112 5.284 0.912 Pd
3.337 5.000 4.804 Pd
3.337 1.572 6.872 Pd